# Ba2TaIn, optimized geometry, DFT PBE
# Uncorrected energy   -15.57 eV/cell
# ΔH_f (0 K)   2.87 eV per formula unit
data_Ba2TaIn
_cell_length_a 6.350
_cell_length_b 6.350
_cell_length_c 3.449
_cell_angle_alpha 90.00
_cell_angle_beta 90.00
_cell_angle_gamma 115.02
_space_group_name_H-M_alt 'P 1'
_space_group_IT_number 1
_space_group_name_Hall 'P 1'
loop_
_atom_site_label
_atom_site_type_symbol
_atom_site_fract_x
_atom_site_fract_y
_atom_site_fract_z
Ba1 Ba 0.000 0.000 0.000
Ba2 Ba 0.500 0.500 0.000
In1 In 0.500 0.000 0.500
Ta1 Ta 0.000 0.500 0.500

---

# Ba2SrPb2, optimized geometry, DFT PBE
# Uncorrected energy   -14.33 eV/cell
# ΔH_f (0 K)   -1.38 eV per formula unit
data_Ba2SrPb2
_cell_length_a 5.345
_cell_length_b 5.345
_cell_length_c 8.613
_cell_angle_alpha 71.92
_cell_angle_beta 71.92
_cell_angle_gamma 90.00
_space_group_name_H-M_alt 'P 1'
_space_group_IT_number 1
_space_group_name_Hall 'P 1'
loop_
_atom_site_label
_atom_site_type_symbol
_atom_site_fract_x
_atom_site_fract_y
_atom_site_fract_z
Pb1 Pb 0.404 0.404 0.192
Pb2 Pb 0.596 0.596 0.808
Sr1 Sr 0.000 0.000 0.000
Ba1 Ba 0.750 0.250 0.500
Ba2 Ba 0.250 0.750 0.500

---

# Sc2TiRh2, optimized geometry, DFT PBE
# Uncorrected energy   -77.38 eV/cell
# ΔH_f (0 K)   -3.43 eV per formula unit
data_Sc2TiRh2
_cell_length_a 6.643
_cell_length_b 6.643
_cell_length_c 4.139
_cell_angle_alpha 90.00
_cell_angle_beta 90.00
_cell_angle_gamma 90.00
_space_group_name_H-M_alt 'P 1'
_space_group_IT_number 1
_space_group_name_Hall 'P 1'
loop_
_atom_site_label
_atom_site_type_symbol
_atom_site_fract_x
_atom_site_fract_y
_atom_site_fract_z
Sc1 Sc 0.171 0.671 0.500
Sc2 Sc 0.671 0.829 0.500
Sc3 Sc 0.829 0.329 0.500
Sc4 Sc 0.329 0.171 0.500
Rh1 Rh 0.356 0.856 0.000
Rh2 Rh 0.856 0.644 0.000
Rh3 Rh 0.644 0.144 0.000
Rh4 Rh 0.144 0.356 0.000
Ti1 Ti 0.000 0.000 0.000
Ti2 Ti 0.500 0.500 0.000

---

# PrNd3Dy, optimized geometry, DFT PBE
# Uncorrected energy   -45.67 eV/cell
# ΔH_f (0 K)   0.85 eV per formula unit
data_PrNd3Dy
_cell_length_a 7.493
_cell_length_b 10.922
_cell_length_c 6.323
_cell_angle_alpha 115.56
_cell_angle_beta 126.34
_cell_angle_gamma 90.00
_space_group_name_H-M_alt 'P 1'
_space_group_IT_number 1
_space_group_name_Hall 'P 1'
loop_
_atom_site_label
_atom_site_type_symbol
_atom_site_fract_x
_atom_site_fract_y
_atom_site_fract_z
Pr1 Pr 0.000 0.500 0.000
Pr2 Pr 0.000 0.000 0.000
Nd1 Nd 0.695 0.594 0.390
Nd2 Nd 0.700 0.243 0.984
Nd3 Nd 0.305 0.406 0.610
Nd4 Nd 0.284 0.243 0.984
Nd5 Nd 0.300 0.757 0.016
Nd6 Nd 0.716 0.757 0.016
Dy1 Dy 0.309 0.900 0.619
Dy2 Dy 0.691 0.100 0.381

---

# Y5In2Ga2, optimized geometry, DFT PBE
# Uncorrected energy   -96.87 eV/cell
# ΔH_f (0 K)   -4.58 eV per formula unit
data_Y5In2Ga2
_cell_length_a 7.710
_cell_length_b 7.839
_cell_length_c 8.936
_cell_angle_alpha 116.01
_cell_angle_beta 90.00
_cell_angle_gamma 90.00
_space_group_name_H-M_alt 'P 1'
_space_group_IT_number 1
_space_group_name_Hall 'P 1'
loop_
_atom_site_label
_atom_site_type_symbol
_atom_site_fract_x
_atom_site_fract_y
_atom_site_fract_z
Y1 Y 0.000 0.000 0.000
Y2 Y 0.500 0.500 0.000
Y3 Y 0.820 0.816 0.259
Y4 Y 0.180 0.443 0.259
Y5 Y 0.320 0.943 0.259
Y6 Y 0.680 0.316 0.259
Y7 Y 0.180 0.184 0.741
Y8 Y 0.820 0.557 0.741
Y9 Y 0.680 0.057 0.741
Y10 Y 0.320 0.684 0.741
In1 In 0.000 0.220 0.441
In2 In 0.500 0.720 0.441
In3 In 0.000 0.780 0.559
In4 In 0.500 0.280 0.559
Ga1 Ga 0.619 0.883 0.000
Ga2 Ga 0.381 0.117 0.000
Ga3 Ga 0.119 0.617 0.000
Ga4 Ga 0.881 0.383 0.000

---

# Dy2Tm2Pb2C, optimized geometry, DFT PBE
# Uncorrected energy   -38.93 eV/cell
# ΔH_f (0 K)   -4.14 eV per formula unit
data_Dy2Tm2Pb2C
_cell_length_a 4.764
_cell_length_b 4.764
_cell_length_c 8.712
_cell_angle_alpha 105.87
_cell_angle_beta 105.87
_cell_angle_gamma 90.00
_space_group_name_H-M_alt 'P 1'
_space_group_IT_number 1
_space_group_name_Hall 'P 1'
loop_
_atom_site_label
_atom_site_type_symbol
_atom_site_fract_x
_atom_site_fract_y
_atom_site_fract_z
Dy1 Dy 0.157 0.157 0.314
Dy2 Dy 0.843 0.843 0.686
Tm1 Tm 0.000 0.500 0.000
Tm2 Tm 0.500 0.000 0.000
Pb1 Pb 0.358 0.358 0.717
Pb2 Pb 0.642 0.642 0.283
C1 C 0.000 0.000 0.000

---

# CsLi2FeSe, optimized geometry, DFT PBE
# Uncorrected energy   -13.68 eV/cell
# Energy relative to the elements, uncorrected   56.84 kJ per mole of atoms
data_CsLi2FeSe
_cell_length_a 5.123
_cell_length_b 5.400
_cell_length_c 5.123
_cell_angle_alpha 90.00
_cell_angle_beta 90.00
_cell_angle_gamma 90.00
_space_group_name_H-M_alt 'P 1'
_space_group_IT_number 1
_space_group_name_Hall 'P 1'
loop_
_atom_site_label
_atom_site_type_symbol
_atom_site_fract_x
_atom_site_fract_y
_atom_site_fract_z
Cs1 Cs 0.000 0.500 0.000
Fe1 Fe 0.000 0.000 0.000
Se1 Se 0.500 0.500 0.500
Li1 Li 0.000 0.000 0.500
Li2 Li 0.500 0.000 0.000

---

# Tb2SmThAs4, optimized geometry, DFT PBE
# Uncorrected energy   -52.18 eV/cell
# ΔH_f (0 K)   -12.18 eV per formula unit
data_Tb2SmThAs4
_cell_length_a 4.194
_cell_length_b 7.240
_cell_length_c 7.252
_cell_angle_alpha 70.53
_cell_angle_beta 90.00
_cell_angle_gamma 90.00
_space_group_name_H-M_alt 'P 1'
_space_group_IT_number 1
_space_group_name_Hall 'P 1'
loop_
_atom_site_label
_atom_site_type_symbol
_atom_site_fract_x
_atom_site_fract_y
_atom_site_fract_z
Tb1 Tb 0.000 0.000 0.000
Tb2 Tb 0.500 0.000 0.500
Sm1 Sm 0.500 0.500 0.000
Th1 Th 0.000 0.500 0.500
As1 As 0.000 0.755 0.748
As2 As 0.000 0.245 0.252
As3 As 0.500 0.756 0.248
As4 As 0.500 0.244 0.752

---

# Pa4SbSe3, optimized geometry, DFT PBE
# Uncorrected energy   -60.55 eV/cell
# Energy relative to the elements, uncorrected   -96.42 kJ per mole of atoms
data_Pa4SbSe3
_cell_length_a 4.230
_cell_length_b 7.139
_cell_length_c 7.139
_cell_angle_alpha 69.40
_cell_angle_beta 90.00
_cell_angle_gamma 90.00
_space_group_name_H-M_alt 'P 1'
_space_group_IT_number 1
_space_group_name_Hall 'P 1'
loop_
_atom_site_label
_atom_site_type_symbol
_atom_site_fract_x
_atom_site_fract_y
_atom_site_fract_z
Sb1 Sb 0.500 0.500 0.000
Pa1 Pa 0.000 0.771 0.729
Pa2 Pa 0.500 0.760 0.260
Pa3 Pa 0.000 0.229 0.271
Pa4 Pa 0.500 0.240 0.740
Se1 Se 0.500 0.000 0.500
Se2 Se 0.000 0.000 0.000
Se3 Se 0.000 0.500 0.500

---

# HgBN2F, optimized geometry, DFT PBE
# Uncorrected energy   -14.23 eV/cell
# Energy relative to the elements, uncorrected   217.49 kJ per mole of atoms
data_HgBN2F
_cell_length_a 4.232
_cell_length_b 4.232
_cell_length_c 4.789
_cell_angle_alpha 90.00
_cell_angle_beta 90.00
_cell_angle_gamma 90.00
_space_group_name_H-M_alt 'P 1'
_space_group_IT_number 1
_space_group_name_Hall 'P 1'
loop_
_atom_site_label
_atom_site_type_symbol
_atom_site_fract_x
_atom_site_fract_y
_atom_site_fract_z
B1 B 0.500 0.500 0.500
N1 N 0.000 0.500 0.000
N2 N 0.500 0.000 0.000
Hg1 Hg 0.000 0.000 0.000
F1 F 0.000 0.000 0.500

---

# KBa5Tl4, optimized geometry, DFT PBE
# Uncorrected energy   -23.48 eV/cell
# ΔH_f (0 K)   -3.30 eV per formula unit
data_KBa5Tl4
_cell_length_a 4.324
_cell_length_b 4.324
_cell_length_c 24.145
_cell_angle_alpha 90.00
_cell_angle_beta 90.00
_cell_angle_gamma 90.00
_space_group_name_H-M_alt 'P 1'
_space_group_IT_number 1
_space_group_name_Hall 'P 1'
loop_
_atom_site_label
_atom_site_type_symbol
_atom_site_fract_x
_atom_site_fract_y
_atom_site_fract_z
K1 K 0.000 0.000 0.000
Ba1 Ba 0.500 0.500 0.152
Ba2 Ba 0.500 0.500 0.323
Ba3 Ba 0.500 0.500 0.500
Ba4 Ba 0.500 0.500 0.677
Ba5 Ba 0.500 0.500 0.848
Tl1 Tl 0.000 0.000 0.233
Tl2 Tl 0.000 0.000 0.411
Tl3 Tl 0.000 0.000 0.589
Tl4 Tl 0.000 0.000 0.767

---

# CeZn4Fe, optimized geometry, DFT PBE
# Uncorrected energy   -19.70 eV/cell
# ΔH_f (0 K)   -0.20 eV per formula unit
data_CeZn4Fe
_cell_length_a 5.208
_cell_length_b 5.208
_cell_length_c 5.208
_cell_angle_alpha 60.00
_cell_angle_beta 60.00
_cell_angle_gamma 60.00
_space_group_name_H-M_alt 'P 1'
_space_group_IT_number 1
_space_group_name_Hall 'P 1'
loop_
_atom_site_label
_atom_site_type_symbol
_atom_site_fract_x
_atom_site_fract_y
_atom_site_fract_z
Zn1 Zn 0.627 0.627 0.120
Zn2 Zn 0.627 0.120 0.627
Zn3 Zn 0.627 0.627 0.627
Zn4 Zn 0.120 0.627 0.627
Fe1 Fe 0.000 0.000 0.000
Ce1 Ce 0.250 0.250 0.250